No. 1
The following is a GGA-PBE calculation of an optimized crystal structure of RbCd3Rh, from Alexandria via LeMat-Bulk.

a = 9.206 Å, b = 9.206 Å, c = 6.522 Å
α = 90.17°, β = 90.17°, γ = 87.17°
Sites, in units of the cell vectors:
1 Rb 0.035 0.229 0.247
2 Rb 0.229 0.035 0.747
3 Rb 0.771 0.965 0.253
4 Rb 0.965 0.771 0.753
5 Cd 0.001 0.380 0.748
6 Cd 0.253 0.506 0.522
7 Cd 0.254 0.504 0.978
8 Cd 0.380 0.001 0.248
9 Cd 0.494 0.747 0.978
10 Cd 0.496 0.746 0.522
11 Cd 0.504 0.254 0.478
12 Cd 0.506 0.253 0.022
13 Cd 0.620 0.999 0.752
14 Cd 0.746 0.496 0.022
15 Cd 0.747 0.494 0.478
16 Cd 0.999 0.620 0.252
17 Rh 0.263 0.737 0.250
18 Rh 0.489 0.511 0.250
19 Rh 0.511 0.489 0.750
20 Rh 0.737 0.263 0.750

Output
**E_tot**: -44.6 eV for the cell shown
**Magnetic moment**: 0.000 μB/f.u.
**Space-group type**: No. 15

***

No. 2
The following is a GGA-PBE calculation of an optimized crystal structure of HfAlRu, from Alexandria via LeMat-Bulk.

a = 4.545 Å, b = 4.545 Å, c = 5.557 Å
α = 90.00°, β = 90.00°, γ = 120.00°
Sites, in units of the cell vectors:
1 Hf 0.333 0.667 0.308
2 Hf 0.667 0.333 0.692
3 Al 0.000 0.000 0.000
4 Al 0.000 0.000 0.500
5 Ru 0.333 0.667 0.813
6 Ru 0.667 0.333 0.187

Output
**E_tot**: -49.6 eV for the cell shown
**Magnetic moment**: 0.000 μB/f.u.
**Space-group type**: No. 164

***

Computed energy of formation, in the same sequence as the records: -0.019, -0.617 eV per atom.